# NaGaSe2 GGA-PBE optimized geometry
# SG ... Pna2_1, No. 33
# Raw formation energy ... -0.8087 eV/atom
# VASP energy ... -14.55 eV per formula unit
# Calculated volume ... 26.394 Å³/atom
data_NaGaSe2
_cell_length_a 7.626
_cell_length_b 8.189
_cell_length_c 6.763
_cell_angle_alpha 90.00
_cell_angle_beta 90.00
_cell_angle_gamma 90.00
_symmetry_space_group_name_H-M 'P 1'
_symmetry_Int_Tables_number 1
loop_
_symmetry_equiv_pos_as_xyz
'x,y,z'
loop_
_atom_site_label
_atom_site_fract_x
_atom_site_fract_y
_atom_site_fract_z
_atom_site_occupancy
Na1 0.622 0.512 0.178 1
Ga1 0.479 0.882 0.427 1
Se1 0.459 0.851 0.070 1
Na2 0.878 0.012 0.678 1
Se2 0.183 0.818 0.574 1
Ga2 0.979 0.618 0.427 1
Se3 0.959 0.649 0.070 1
Se4 0.817 0.182 0.074 1
Na3 0.378 0.488 0.678 1
Ga3 0.521 0.118 0.927 1
Ga4 0.021 0.382 0.927 1
Se5 0.041 0.351 0.570 1
Se6 0.317 0.318 0.074 1
Se7 0.541 0.149 0.570 1
Na4 0.122 0.988 0.178 1
Se8 0.683 0.682 0.574 1